{"formula": "Cr3Ni2Ir2", "functional": "GGA-PBE", "state": "optimized geometry", "lattice": [[-3.5798, 3.5798, 3.5798], [3.5798, -3.5798, 3.5798], [3.5798, 3.5798, -3.5798]], "species": ["Cr", "Cr", "Cr", "Cr", "Cr", "Cr", "Ni", "Ni", "Ni", "Ni", "Ir", "Ir", "Ir", "Ir"], "frac_coords": [[0.0668, 0.8168, 0.2500], [0.2500, 0.0668, 0.8168], [0.4332, 0.6832, 0.7500], [0.6832, 0.7500, 0.4332], [0.7500, 0.4332, 0.6832], [0.8168, 0.2500, 0.0668], [0.0000, 0.5959, 0.5000], [0.5000, 0.0000, 0.5959], [0.5959, 0.5000, 0.0000], [0.9041, 0.9041, 0.9041], [0.0000, 0.1904, 0.5000], [0.1904, 0.5000, 0.0000], [0.3096, 0.3096, 0.3096], [0.5000, 0.0000, 0.1904]], "crystal_system": "cubic", "energy_ev_per_atom": -7.982}